First-principles (PBE+U) data for an optimized crystal structure of CrGaO4, as listed in the Alexandria database.

## Properties
Energy relative to the lowest polymorph listed for this composition = 0.0 meV per atom
Density of states at the Fermi level = 2.06 states/eV per cell
M_tot = 1.00 μB per cell

```
data_CrGaO4
_chemical_formula_sum 'Cr1 Ga1 O4'
_cell_length_a 4.5396
_cell_length_b 4.5396
_cell_length_c 2.9682
_cell_angle_alpha 90.00
_cell_angle_beta 90.00
_cell_angle_gamma 91.76
_symmetry_space_group_name_H-M 'P 1'
_symmetry_Int_Tables_number 1
loop_
_symmetry_equiv_pos_as_xyz
'x,y,z'
loop_
_atom_site_label
_atom_site_fract_x
_atom_site_fract_y
_atom_site_fract_z
O1 0.8106 0.1894 0.0000
Ga1 0.5000 0.5000 0.0000
O2 0.7046 0.7046 0.5000
O3 0.1894 0.8106 0.0000
O4 0.2954 0.2954 0.5000
Cr1 0.0000 0.0000 0.5000
```

=====

First-principles (PBE+U) data for an optimized crystal structure of CrGa3O, as listed in the Alexandria database.

## Properties
Energy relative to the lowest polymorph listed for this composition = 0.0 meV per atom
Density of states at the Fermi level = 2.30 states/eV per cell
M_tot = 0.51 μB per cell

```
data_CrGa3O
_chemical_formula_sum 'Cr1 Ga3 O1'
_cell_length_a 4.3828
_cell_length_b 4.3828
_cell_length_c 4.3828
_cell_angle_alpha 90.00
_cell_angle_beta 90.00
_cell_angle_gamma 90.00
_symmetry_space_group_name_H-M 'P 1'
_symmetry_Int_Tables_number 1
loop_
_symmetry_equiv_pos_as_xyz
'x,y,z'
loop_
_atom_site_label
_atom_site_fract_x
_atom_site_fract_y
_atom_site_fract_z
Ga1 0.5000 0.0000 0.0000
O1 0.0000 0.0000 0.0000
Ga2 0.0000 0.0000 0.5000
Cr1 0.5000 0.5000 0.5000
Ga3 0.0000 0.5000 0.0000
```